Density functional theory data (PBE) for MgFeSi2 after structural relaxation.

The space group is Pmm2 (No. 25) and the conventional cell measures 2.7471, 3.6932 and 6.1265 Å, with angles of 90.00, 90.00 and 90.00 degrees. The asymmetric unit holds Mg at (0.0000, 0.0000, 0.0000), Fe at (0.0000, 0.5000, 0.4206), Si at (0.5000, 0.0000, 0.4001) and Si at (0.5000, 0.5000, 0.7271).

The calculation puts the calculated total energy at -5.248 eV/atom. As for the formation energy from raw total energies: -0.1 eV/f.u.

---

Density functional theory data (PBE) for MgFeSi2 after structural relaxation.

The space group is Cm (No. 8) and the conventional cell measures 7.5648, 3.1780 and 5.7775 Å, with angles of 90.00, 122.02 and 90.00 degrees. The asymmetric unit holds Mg at (0.0000, 0.0000, 0.0000), Fe at (0.2344, 0.0000, 0.5363), Si at (0.0943, 0.5000, 0.6958) and Si at (0.3519, 0.5000, 0.3369).

The calculation puts the calculated total energy at -5.378 eV/atom. As for the formation energy from raw total energies: -0.6 eV/f.u.

---

Density functional theory data (PBE) for MgFe2Si after structural relaxation.

The space group is P4/mmm (No. 123) and the conventional cell measures 3.7495, 3.7495 and 3.6110 Å, with angles of 90.00, 90.00 and 90.00 degrees. The asymmetric unit holds Mg at (0.0000, 0.0000, 0.0000), Fe at (0.0000, 0.5000, 0.5000) and Si at (0.5000, 0.5000, 0.0000).

The calculation puts the calculated total energy at -5.979 eV/atom. As for the formation energy from raw total energies: 0.0 eV/f.u.

---

Density functional theory data (PBE) for Mg2FeSi2 after structural relaxation.

The space group is P4/mbm (No. 127) and the conventional cell measures 6.1771, 6.1771 and 4.1349 Å, with angles of 90.00, 90.00 and 90.00 degrees. The asymmetric unit holds Mg at (0.1747, 0.3253, 0.0000), Fe at (0.0000, 0.0000, 0.5000) and Si at (0.1391, 0.6391, 0.5000).

The calculation puts the calculated total energy at -4.619 eV/atom. As for the formation energy from raw total energies: -0.6 eV/f.u.

---

Density functional theory data (PBE) for Mg2FeSi after structural relaxation.

The space group is P4/mmm (No. 123) and the conventional cell measures 2.7891, 2.7891 and 8.2643 Å, with angles of 90.00, 90.00 and 90.00 degrees. The asymmetric unit holds Mg at (0.0000, 0.0000, 0.2358), Fe at (0.5000, 0.5000, 0.0000) and Si at (0.5000, 0.5000, 0.5000).

The calculation puts the calculated total energy at -4.073 eV/atom. As for the formation energy from raw total energies: 0.8 eV/f.u.

---

Density functional theory data (PBE) for Mg2FeSi after structural relaxation.

The space group is P2/m (No. 10) and the conventional cell measures 2.9488, 3.9170 and 5.5000 Å, with angles of 90.00, 90.10 and 90.00 degrees. The asymmetric unit holds Mg at (0.0022, 0.0000, 0.2436), Fe at (0.5000, 0.5000, 0.0000) and Si at (0.5000, 0.5000, 0.5000).

The calculation puts the calculated total energy at -4.091 eV/atom. As for the formation energy from raw total energies: 0.7 eV/f.u.

---

Density functional theory data (PBE) for MgFeSi2 after structural relaxation.

The space group is C2/m (No. 12) and the conventional cell measures 7.6325, 2.9836 and 5.3062 Å, with angles of 90.00, 101.66 and 90.00 degrees. The asymmetric unit holds Mg at (0.0000, 0.0000, 0.0000), Fe at (0.0000, 0.5000, 0.5000) and Si at (0.2330, 0.0000, 0.6772).

The calculation puts the calculated total energy at -5.330 eV/atom. As for the formation energy from raw total energies: -0.4 eV/f.u.

---

Density functional theory data (PBE) for Mg2FeSi after structural relaxation.

The space group is R-3m (No. 166, hexagonal axes) and the conventional cell measures 2.8692, 2.8692 and 27.8307 Å, with angles of 90.00, 90.00 and 120.00 degrees. The asymmetric unit holds Mg at (0.0000, 0.0000, 0.2450), Fe at (0.0000, 0.0000, 0.5000) and Si at (0.0000, 0.0000, 0.0000).

The calculation puts the calculated total energy at -4.004 eV/atom. As for the formation energy from raw total energies: 1.1 eV/f.u.